Compound: NaTe3H
Source: the Alexandria database
Functional: PBE
Structure: optimized geometry Values from VASP.

Summary:
The calculation puts the distance to the lowest polymorph of the same formula at 714 meV/atom. As for the symmetry: Pm-3m (221).

Structure (Quantum ESPRESSO input):
```
&SYSTEM
  ibrav = 0, nat = 5, ntyp = 3
/
ATOMIC_SPECIES
Na 22.99 Na.upf
Te 127.60 Te.upf
H 1.01 H.upf
CELL_PARAMETERS angstrom
5.543 0.000 0.000
0.000 5.543 0.000
0.000 0.000 5.543
ATOMIC_POSITIONS crystal
Na 0.000 0.000 0.000
Te 0.000 0.500 0.000
Te 0.000 0.000 0.500
Te 0.500 0.000 0.000
H 0.500 0.500 0.500
```

=====

Compound: Mg2Ga4Fe
Source: the Alexandria database
Functional: PBE
Structure: optimized geometry Values from VASP.

Summary:
As for the symmetry: I4/mmm (139).

Structure (Quantum ESPRESSO input):
```
&SYSTEM
  ibrav = 0, nat = 7, ntyp = 3
/
ATOMIC_SPECIES
Mg 24.30 Mg.upf
Fe 55.84 Fe.upf
Ga 69.72 Ga.upf
CELL_PARAMETERS angstrom
-1.346 -1.830 -4.020
3.440 -3.071 0.247
-3.012 -6.732 1.421
ATOMIC_POSITIONS crystal
Mg 0.369 0.369 0.261
Mg 0.631 0.631 0.739
Fe 0.000 0.000 0.000
Ga 0.174 0.174 0.651
Ga 0.826 0.826 0.349
Ga 0.000 0.500 0.000
Ga 0.500 0.000 0.000
```

=====

Compound: Ca2HgGe3Pt4
Source: the Alexandria database
Functional: PBE
Structure: optimized geometry Values from VASP.

Summary:
As for the symmetry: P-4m2 (115).

Structure (Quantum ESPRESSO input):
```
&SYSTEM
  ibrav = 0, nat = 10, ntyp = 4
/
ATOMIC_SPECIES
Ca 40.08 Ca.upf
Hg 200.59 Hg.upf
Ge 72.64 Ge.upf
Pt 195.08 Pt.upf
CELL_PARAMETERS angstrom
4.315 0.000 0.000
0.000 4.315 0.000
0.000 0.000 10.810
ATOMIC_POSITIONS crystal
Ca 0.500 0.000 0.247
Ca 0.000 0.500 0.753
Hg 0.500 0.500 0.500
Ge 0.000 0.000 0.500
Ge 0.500 0.000 0.877
Ge 0.000 0.500 0.123
Pt 0.500 0.500 0.000
Pt 0.000 0.000 0.000
Pt 0.500 0.000 0.654
Pt 0.000 0.500 0.346
```

=====

Number 1: calculated total energy -1.88 eV per atom, volume 170 Å³ per cell, D(E_F) 4.60 states/eV per cell. Number 2: calculated total energy -3.32 eV per atom, volume 144 Å³ per cell, D(E_F) 2.17 states/eV per cell. Number 3: calculated total energy -4.91 eV per atom, volume 201 Å³ per cell, D(E_F) 5.53 states/eV per cell.